1.
Computed, not measured: a geometry-optimized Tb6Nd8Sm structure at the PBE level of DFT.

Calculated formation energy (eV per atom): 0.18
Final energy (eV/atom): -4.53
Spin magnetization (Bohr magnetons per cell): 0.0
Polymorph energy (0 for the lowest one) (eV/atom): 0.024
Crystal system: trigonal

a = 6.600 Å, b = 9.506 Å, c = 9.506 Å
α = 120.00°, β = 90.00°, γ = 90.00°
Element x y z (fractional)
Tb (0.660, 0.654, 0.093)
Tb (0.660, 0.907, 0.562)
Tb (0.660, 0.438, 0.346)
Tb (0.340, 0.346, 0.907)
Tb (0.340, 0.093, 0.438)
Tb (0.340, 0.562, 0.654)
Nd (0.833, 0.035, 0.286)
Nd (0.833, 0.714, 0.749)
Nd (0.833, 0.251, 0.965)
Nd (0.167, 0.965, 0.714)
Nd (0.167, 0.286, 0.251)
Nd (0.167, 0.749, 0.035)
Nd (0.879, 0.333, 0.667)
Nd (0.121, 0.667, 0.333)
Sm (0.500, 0.000, 0.000)

---

2.
Computed, not measured: a geometry-optimized Tb5AlTl3 structure at the PBE level of DFT.

Calculated formation energy (eV per atom): -0.35
Final energy (eV/atom): -4.12
Spin magnetization (Bohr magnetons per cell): 0.0
Crystal system: hexagonal

a = 6.637 Å, b = 9.300 Å, c = 9.300 Å
α = 120.00°, β = 90.00°, γ = 90.00°
Element x y z (fractional)
Tb (0.000, 0.667, 0.333)
Tb (0.500, 0.333, 0.667)
Tb (0.000, 0.333, 0.667)
Tb (0.500, 0.667, 0.333)
Tb (0.750, 0.724, 0.724)
Tb (0.750, 0.000, 0.276)
Tb (0.750, 0.276, 0.000)
Tb (0.250, 0.276, 0.276)
Tb (0.250, 0.000, 0.724)
Tb (0.250, 0.724, 0.000)
Al (0.000, 0.000, 0.000)
Al (0.500, 0.000, 0.000)
Tl (0.750, 0.377, 0.377)
Tl (0.750, 0.000, 0.623)
Tl (0.750, 0.623, 0.000)
Tl (0.250, 0.623, 0.623)
Tl (0.250, 0.000, 0.377)
Tl (0.250, 0.377, 0.000)

---

3.
Computed, not measured: a geometry-optimized CsNaGaAu2 structure at the PBE level of DFT.

Calculated formation energy (eV per atom): -0.16
Final energy (eV/atom): -2.51
Spin magnetization (Bohr magnetons per cell): 0.0
Crystal system: tetragonal

a = 5.140 Å, b = 5.140 Å, c = 5.622 Å
α = 90.00°, β = 90.00°, γ = 90.00°
Element x y z (fractional)
Cs (0.500, 0.500, 0.500)
Na (0.000, 0.000, 0.500)
Au (0.000, 0.500, 0.000)
Au (0.500, 0.000, 0.000)
Ga (0.000, 0.000, 0.000)